Density functional theory data (SCAN) for SrZn2In at its PBEsol-relaxed geometry.

a = 5.002 Å, b = 5.002 Å, c = 5.002 Å
α = 60.00°, β = 60.00°, γ = 60.00°
Fractional coordinates of all 4 atoms:
1 Sr 0.000 0.000 0.000
2 Zn 0.500 0.500 0.500
3 Zn 0.750 0.750 0.750
4 In 0.250 0.250 0.250

Summary:
Total DFT energy (no corrections) ... -83.1 eV/cell
Magnetization ... 0.000 μB per atom
ΔE_f ... -0.405 eV per formula unit